{"formula": "SnSbTe2F", "functional": "PBE-GGA", "state": "relaxed", "lattice": [[5.5951, 0.0000, 0.0000], [0.0000, 5.5951, 0.0000], [0.0000, 0.0000, 4.3581]], "species": ["Sn", "Sb", "Te", "Te", "F"], "frac_coords": [[0.0000, 0.0000, 0.0000], [0.5000, 0.5000, 0.0000], [0.0000, 0.5000, 0.5000], [0.5000, 0.0000, 0.5000], [0.5000, 0.5000, 0.5000]], "dos_ef_per_ev_atom": 0.66, "formation_energy_uncorrected_ev_per_atom": -0.161, "polymorph_energy_mev_per_atom": 0}